# 1
Pr3SbP2Rh9: optimized geometry, PBE.

It has space group P-3m1 (No. 164), with a = 6.1240 Å, b = 6.1240 Å, c = 9.1832 Å, α = 90.00°, β = 90.00° and γ = 120.00°. The asymmetric unit holds Pr at (0.0000, 0.0000, 0.0000), Pr at (0.3333, 0.6667, 0.6897), Sb at (0.0000, 0.0000, 0.5000), P at (0.3333, 0.6667, 0.1583), Rh at (0.0000, 0.5000, 0.0000) and Rh at (0.1530, 0.3061, 0.2760).

The calculation puts the raw formation energy at -0.642 eV per atom. Its density of states at the Fermi level is 9.0 states/eV/f.u. The calculation puts the raw total energy at -105.1 eV per cell.

---

# 2
PrSbP2Rh5: optimized geometry, PBE.

It has space group P4/mmm (No. 123), with a = 4.069 Å, b = 4.069 Å, c = 10.151 Å, α = 90.00°, β = 90.00° and γ = 90.00°. The asymmetric unit holds Pr at (0.000, 0.000, 0.000), Sb at (0.000, 0.000, 0.500), P at (0.500, 0.500, 0.223), Rh at (0.000, 0.500, 0.328) and Rh at (0.500, 0.500, 0.000).

The calculation puts the raw formation energy at -0.728 eV per atom. Its density of states at the Fermi level is 3.5 states/eV/f.u. The calculation puts the raw total energy at -63.0 eV per cell.

---

# 3
Pr4PRhSe2: optimized geometry, PBE.

It has space group P2/m (No. 10), with a = 7.371 Å, b = 4.183 Å, c = 7.449 Å, α = 90.00°, β = 108.49° and γ = 90.00°. The asymmetric unit holds Pr at (0.243, 0.000, 0.230), Pr at (0.254, 0.500, 0.770), P at (0.500, 0.000, 0.000), Rh at (0.000, 0.500, 0.000), Se at (0.000, 0.000, 0.500) and Se at (0.500, 0.500, 0.500).

The calculation puts the raw formation energy at -1.438 eV per atom. Its density of states at the Fermi level is 6.4 states/eV/f.u. The calculation puts the raw total energy at -50.4 eV per cell.

---

# 4
Pr6P2RhSe3: optimized geometry, PBE.

It has space group C2/m (No. 12), with a = 18.534 Å, b = 4.202 Å, c = 8.587 Å, α = 90.00°, β = 103.92° and γ = 90.00°. The asymmetric unit holds Pr at (0.004, 0.000, 0.241), Pr at (0.162, 0.500, 0.094), Pr at (0.171, 0.500, 0.574), P at (0.167, 0.000, 0.335), Rh at (0.000, 0.500, 0.000), Se at (0.000, 0.500, 0.500) and Se at (0.169, 0.000, 0.833).

The calculation puts the raw formation energy at -1.558 eV per atom. Its density of states at the Fermi level is 6.0 states/eV/f.u. The calculation puts the raw total energy at -152.0 eV per cell.

---

# 5
Pr8P3RhSe4: optimized geometry, PBE.

It has space group R-3m (No. 166, hexagonal axes), with a = 8.4526 Å, b = 8.4526 Å, c = 20.9995 Å, α = 90.00°, β = 90.00° and γ = 120.00°. The asymmetric unit holds Pr at (0.0000, 0.0000, 0.2440), Pr at (0.0014, 0.5007, 0.2438), P at (0.0000, 0.5000, 0.5000), Rh at (0.0000, 0.0000, 0.5000), Se at (0.0000, 0.0000, 0.0000) and Se at (0.0000, 0.5000, 0.0000).

The calculation puts the raw formation energy at -1.600 eV per atom. Its density of states at the Fermi level is 8.4 states/eV/f.u. The calculation puts the raw total energy at -304.1 eV per cell.

---

# 6
Pr2SmP3Rh12: optimized geometry, PBE.

It has space group R-3m (No. 166, hexagonal axes), with a = 9.0944 Å, b = 9.0944 Å, c = 12.8947 Å, α = 90.00°, β = 90.00° and γ = 120.00°. The asymmetric unit holds Pr at (0.0000, 0.0000, 0.1268), Sm at (0.0000, 0.0000, 0.5000), P at (0.0000, 0.5000, 0.0000), Rh at (0.0093, 0.5046, 0.8271) and Rh at (0.0316, 0.5158, 0.3806).

The calculation puts the energy relative to the elements at -0.30 eV/atom. Its density of states at the Fermi level is 19.0 states/eV/f.u. The calculation puts the raw total energy at -372.6 eV per cell.

---

- Which formula does entry 1 have?
  Pr3SbP2Rh9